No. 1
DFT (GGA-PBE) results for a relaxed structure of Ba4Zn2Pt.

Results
Its formation energy is -0.240 eV per atom. Its density is 4.61 g/cm3. As for the symmetry: I4/mmm (139).

a b c (Å): 6.3073 6.3073 9.0888
angles (deg): 69.70 69.70 90.00
Atoms (fractional coordinates):
Ba 0.1984 0.1984 0.6032
Ba 0.0000 0.5000 0.0000
Ba 0.5000 0.0000 0.0000
Zn 0.4139 0.4139 0.1722
Pt 0.0000 0.0000 0.0000
Ba 0.8016 0.8016 0.3968
Zn 0.5861 0.5861 0.8278

No. 2
DFT (GGA-PBE) results for a relaxed structure of Ce2SbSe.

Results
The calculation puts the relative energy among the computed polymorphs at 0 meV per atom. Its density is 6.83 g/cm3. As for the symmetry: R-3m (166).

a b c (Å): 4.3668 4.3676 7.5124
angles (deg): 106.89 90.00 119.99
Atoms (fractional coordinates):
Sb 0.0000 0.0000 0.5000
Se 0.5000 0.0000 0.0000
Ce 0.2445 0.4890 0.2336
Ce 0.7555 0.5110 0.7664

No. 3
DFT (GGA-PBE) results for a relaxed structure of Tl2CrRu.

Results
Its formation energy is 0.691 eV per atom. The calculation puts the relative energy among the computed polymorphs at 289 meV per atom. Its density is 12.15 g/cm3. As for the symmetry: I-4m2 (119).

a b c (Å): 5.4447 5.4447 5.4447
angles (deg): 136.03 136.03 63.94
Atoms (fractional coordinates):
Tl 0.2500 0.7500 0.5000
Cr 0.5000 0.5000 0.0000
Ru 0.7500 0.2500 0.5000
Tl 0.0000 0.0000 0.0000

No. 4
DFT (GGA-PBE) results for a relaxed structure of TaMn2Ni.

Results
Its formation energy is -0.051 eV per atom. The calculation puts the relative energy among the computed polymorphs at 0 meV per atom. Its density is 10.95 g/cm3. As for the symmetry: P4/mmm (123).

a b c (Å): 3.8851 3.8851 3.5111
angles (deg): 90.00 90.00 90.00
Atoms (fractional coordinates):
Ta 0.0000 0.5000 0.5000
Mn 0.5000 0.5000 0.0000
Mn 0.0000 0.0000 0.0000
Ni 0.5000 0.0000 0.5000

No. 5
DFT (GGA-PBE) results for a relaxed structure of Rb2NaI6F.

Results
Its density is 3.81 g/cm3. As for the symmetry: I4/mmm (139). As for the total energy: -21.25 eV for the cell shown.

a b c (Å): 7.9187 7.9187 8.7870
angles (deg): 63.22 63.22 90.00
Atoms (fractional coordinates):
I 0.2738 0.2738 0.0000
I 0.7744 0.7744 0.4512
I 0.2738 0.7262 0.0000
I 0.7262 0.7262 0.0000
I 0.7262 0.2738 0.0000
Rb 0.2500 0.7500 0.5000
I 0.2256 0.2256 0.5488
F 0.5000 0.5000 0.0000
Rb 0.7500 0.2500 0.5000
Na 0.0000 0.0000 0.0000

No. 6
DFT (GGA-PBE) results for a relaxed structure of MgBe2NbNi.

Results
Its formation energy is 0.494 eV per atom. Its density is 4.58 g/cm3. As for the symmetry: P4/mmm (123).

a b c (Å): 4.0348 4.3216 4.0348
angles (deg): 90.00 90.00 90.00
Atoms (fractional coordinates):
Ni 0.0000 0.0000 0.0000
Be 0.5000 0.0000 0.0000
Mg 0.0000 0.5000 0.0000
Be 0.0000 0.0000 0.5000
Nb 0.5000 0.5000 0.5000